# 1
The following is a DFT calculation (PBE) of a relaxed CoSiSb2 crystal.

Calculated values
Magnetic moment in μB/cell: 0.00
Fermi-level density of states in states/eV/atom: 0.54
Formation energy without anion corrections in kJ/mol of atoms: 8.2

Cell lengths 4.126, 5.130, 7.508 Å; angles 90.00, 90.00, 90.00 degrees
Fractional positions:
Co  0.000  0.000  0.000
Co  0.000  0.500  0.500
Si  0.500  0.000  0.861
Si  0.500  0.500  0.361
Sb  0.000  0.000  0.610
Sb  0.000  0.500  0.110
Sb  0.500  0.000  0.220
Sb  0.500  0.500  0.720


# 2
The following is a DFT calculation (PBE) of a relaxed Co2SiSb crystal.

Calculated values
Magnetic moment in μB/cell: 1.21
Excess energy over the best structure of this formula in the dataset in eV per atom: 0.1176
Fermi-level density of states in states/eV/atom: 1.12
Formation energy without anion corrections in kJ/mol of atoms: 1.1

Cell lengths 6.883, 2.918, 6.058 Å; angles 90.00, 104.69, 90.00 degrees
Fractional positions:
Co  0.249  0.000  0.185
Co  0.251  0.500  0.815
Co  0.749  0.500  0.185
Co  0.751  0.000  0.815
Si  0.000  0.500  0.000
Si  0.500  0.000  0.000
Sb  0.000  0.000  0.500
Sb  0.500  0.500  0.500